(1)
A relaxed structure of K2RbSiF8, computed with GGA-PBE.

Calculated values
crystal system = trigonal
electronic total energy = -56.65 eV per formula unit

Lattice parameters (Å, degrees): 5.636 5.636 7.718 90.00 90.00 120.00
Each line ends with the local moment (μB).
Fractional positions:
Si 0.000 0.000 0.000  0.00
F 0.667 0.333 0.493  0.45
F 0.857 0.713 0.871  0.01
F 0.143 0.857 0.129  0.01
F 0.287 0.143 0.871  0.01
F 0.857 0.143 0.871  0.01
F 0.143 0.287 0.129  0.01
F 0.333 0.667 0.507  0.45
F 0.713 0.857 0.129  0.01
K 0.333 0.667 0.850  0.00
K 0.667 0.333 0.150  0.00
Rb 0.000 0.000 0.500  0.00



(2)
A relaxed structure of KRb2SiF8, computed with GGA-PBE.

Calculated values
crystal system = trigonal
electronic total energy = -56.16 eV per formula unit

Lattice parameters (Å, degrees): 5.918 5.918 7.412 90.00 90.00 120.00
Each line ends with the local moment (μB).
Fractional positions:
K 0.000 0.000 0.500  0.00
Rb 0.667 0.333 0.159  0.00
Rb 0.333 0.667 0.841  0.00
F 0.136 0.864 0.135  0.00
F 0.136 0.273 0.135  0.00
F 0.727 0.864 0.135  0.00
F 0.864 0.136 0.865  0.00
F 0.667 0.333 0.524  0.43
F 0.273 0.136 0.865  0.00
F 0.864 0.727 0.865  0.00
F 0.333 0.667 0.476  0.43
Si 0.000 0.000 0.000  0.00



(3)
A relaxed structure of KRb2SiF7, computed with GGA-PBE.

Calculated values
crystal system = orthorhombic
electronic total energy = -55.26 eV per formula unit

Lattice parameters (Å, degrees): 7.997 7.997 5.791 90.00 90.00 90.94
Each line ends with the local moment (μB).
Fractional positions:
Si 0.000 0.000 0.000  0.00
Si 0.500 0.500 0.000  0.00
F 0.894 0.106 0.788  0.00
F 0.106 0.894 0.788  0.00
F 0.392 0.392 0.788  0.00
F 0.106 0.894 0.212  0.00
F 0.608 0.608 0.212  0.00
F 0.847 0.847 0.000  0.00
F 0.000 0.500 0.500  0.07
F 0.500 0.000 0.500  0.07
F 0.349 0.651 0.000  0.00
F 0.651 0.349 0.000  0.00
F 0.894 0.106 0.212  0.00
F 0.392 0.392 0.212  0.00
F 0.608 0.608 0.788  0.00
F 0.153 0.153 0.000  0.00
Rb 0.000 0.500 0.000  0.00
Rb 0.695 0.305 0.500  0.00
Rb 0.305 0.695 0.500  0.00
Rb 0.500 0.000 0.000  0.00
K 0.805 0.805 0.500  0.00
K 0.195 0.195 0.500  0.00



(4)
A relaxed structure of KRb2SiF6, computed with GGA-PBE.

Calculated values
crystal system = tetragonal
electronic total energy = -46.85 eV per formula unit

Lattice parameters (Å, degrees): 6.574 6.574 6.581 60.03 60.03 90.00
Fractional positions:
K 0.000 0.000 0.000
F 0.313 0.313 0.375
F 0.312 0.312 0.000
F 0.687 0.687 0.625
F 0.688 0.312 0.000
F 0.688 0.688 0.000
F 0.312 0.688 0.000
Rb 0.750 0.250 0.500
Rb 0.250 0.750 0.500
Si 0.500 0.500 0.000



Copy entry 2 word for word.
A relaxed structure of KRb2SiF8, computed with GGA-PBE.

Calculated values
crystal system = trigonal
electronic total energy = -56.16 eV per formula unit

Lattice parameters (Å, degrees): 5.918 5.918 7.412 90.00 90.00 120.00
Each line ends with the local moment (μB).
Fractional positions:
K 0.000 0.000 0.500  0.00
Rb 0.667 0.333 0.159  0.00
Rb 0.333 0.667 0.841  0.00
F 0.136 0.864 0.135  0.00
F 0.136 0.273 0.135  0.00
F 0.727 0.864 0.135  0.00
F 0.864 0.136 0.865  0.00
F 0.667 0.333 0.524  0.43
F 0.273 0.136 0.865  0.00
F 0.864 0.727 0.865  0.00
F 0.333 0.667 0.476  0.43
Si 0.000 0.000 0.000  0.00



Copy entry 1 word for word.
A relaxed structure of K2RbSiF8, computed with GGA-PBE.

Calculated values
crystal system = trigonal
electronic total energy = -56.65 eV per formula unit

Lattice parameters (Å, degrees): 5.636 5.636 7.718 90.00 90.00 120.00
Each line ends with the local moment (μB).
Fractional positions:
Si 0.000 0.000 0.000  0.00
F 0.667 0.333 0.493  0.45
F 0.857 0.713 0.871  0.01
F 0.143 0.857 0.129  0.01
F 0.287 0.143 0.871  0.01
F 0.857 0.143 0.871  0.01
F 0.143 0.287 0.129  0.01
F 0.333 0.667 0.507  0.45
F 0.713 0.857 0.129  0.01
K 0.333 0.667 0.850  0.00
K 0.667 0.333 0.150  0.00
Rb 0.000 0.000 0.500  0.00